VASP calculation (PBE) on a geometry-optimized Ca6SnO8 structure.

Values from the calculation:
* SG: No. 225
* DFT total energy: -6.45 eV per atom
* total magnetization: 0.00 μB/cell
* E_form (uncorrected): -2.74 eV per atom

a = 6.7971 Å, b = 6.7971 Å, c = 6.7971 Å
α = 60.00°, β = 60.00°, γ = 60.00°
Atoms (fractional coordinates):
Ca: 0.0000 0.0000 0.5000
Ca: 0.0000 0.5000 0.0000
Ca: 0.0000 0.5000 0.5000
Ca: 0.5000 0.0000 0.0000
Ca: 0.5000 0.0000 0.5000
Ca: 0.5000 0.5000 0.0000
Sn: 0.0000 0.0000 0.0000
O: 0.2220 0.2220 0.7780
O: 0.2220 0.7780 0.2220
O: 0.2220 0.7780 0.7780
O: 0.2500 0.2500 0.2500
O: 0.7500 0.7500 0.7500
O: 0.7780 0.2220 0.2220
O: 0.7780 0.2220 0.7780
O: 0.7780 0.7780 0.2220

VASP calculation (PBE) on a geometry-optimized Ge2BiPt structure.

Values from the calculation:
* SG: No. 122
* DFT total energy: -4.80 eV per atom
* calculated formation energy: -0.014 eV per atom
* total magnetization: 0.00 μB/cell

a = 5.8822 Å, b = 5.8822 Å, c = 12.7920 Å
α = 90.00°, β = 90.00°, γ = 90.00°
Atoms (fractional coordinates):
Ge: 0.1847 0.2500 0.1250
Ge: 0.2500 0.6847 0.3750
Ge: 0.2500 0.8153 0.8750
Ge: 0.3153 0.2500 0.6250
Ge: 0.6847 0.7500 0.6250
Ge: 0.7500 0.1847 0.8750
Ge: 0.7500 0.3153 0.3750
Ge: 0.8153 0.7500 0.1250
Bi: 0.0000 0.0000 0.5000
Bi: 0.0000 0.5000 0.7500
Bi: 0.5000 0.0000 0.2500
Bi: 0.5000 0.5000 0.0000
Pt: 0.0000 0.0000 0.0000
Pt: 0.0000 0.5000 0.2500
Pt: 0.5000 0.0000 0.7500
Pt: 0.5000 0.5000 0.5000

VASP calculation (PBE) on a geometry-optimized YInPbCl6 structure.

Values from the calculation:
* SG: No. 163
* DFT total energy: -4.27 eV per atom
* total magnetization: 0.00 μB/cell
* E_form (uncorrected): -1.60 eV per atom

a = 7.3347 Å, b = 7.3347 Å, c = 13.4334 Å
α = 90.00°, β = 90.00°, γ = 120.00°
Atoms (fractional coordinates):
Y: 0.3333 0.6667 0.2500
Y: 0.6667 0.3333 0.7500
In: 0.0000 0.0000 0.0000
In: 0.0000 0.0000 0.5000
Pb: 0.3333 0.6667 0.7500
Pb: 0.6667 0.3333 0.2500
Cl: 0.0260 0.3786 0.1365
Cl: 0.0260 0.6474 0.3635
Cl: 0.3526 0.3786 0.3635
Cl: 0.3526 0.9740 0.1365
Cl: 0.3786 0.0260 0.6365
Cl: 0.3786 0.3526 0.8635
Cl: 0.6214 0.6474 0.1365
Cl: 0.6214 0.9740 0.3635
Cl: 0.6474 0.0260 0.8635
Cl: 0.6474 0.6214 0.6365
Cl: 0.9740 0.3526 0.6365
Cl: 0.9740 0.6214 0.8635

VASP calculation (PBE) on a geometry-optimized La3Tb4Ho structure.

Values from the calculation:
* SG: No. 31
* DFT total energy: -4.73 eV per atom
* polymorph energy (0 for the lowest one): 0 meV per atom
* calculated formation energy: 0.003 eV per atom
* total magnetization: 0.00 μB/cell

a = 11.7408 Å, b = 6.2780 Å, c = 7.2863 Å
α = 90.00°, β = 90.00°, γ = 90.00°
Atoms (fractional coordinates):
La: 0.0000 0.1697 0.0000
La: 0.2494 0.9992 0.7504
La: 0.2506 0.0008 0.2504
La: 0.5000 0.8303 0.5000
La: 0.7494 0.0008 0.2504
La: 0.7506 0.9992 0.7504
Tb: 0.0000 0.1687 0.5002
Tb: 0.0000 0.6683 0.2511
Tb: 0.2490 0.4994 0.4999
Tb: 0.2510 0.5006 0.9999
Tb: 0.5000 0.3317 0.7511
Tb: 0.5000 0.8313 0.0002
Tb: 0.7490 0.5006 0.9999
Tb: 0.7510 0.4994 0.4999
Ho: 0.0000 0.6675 0.7482
Ho: 0.5000 0.3325 0.2482

VASP calculation (PBE) on a geometry-optimized La2ScSe structure.

Values from the calculation:
* SG: No. 71
* DFT total energy: -5.45 eV per atom
* total magnetization: 0.00 μB/cell
* E_form (uncorrected): -0.53 eV per atom

a = 3.5921 Å, b = 4.5986 Å, c = 13.3403 Å
α = 90.00°, β = 90.00°, γ = 90.00°
Atoms (fractional coordinates):
La: 0.0000 0.0000 0.1954
La: 0.0000 0.0000 0.8046
La: 0.5000 0.5000 0.3046
La: 0.5000 0.5000 0.6954
Sc: 0.0000 0.5000 0.0000
Sc: 0.5000 0.0000 0.5000
Se: 0.0000 0.5000 0.5000
Se: 0.5000 0.0000 0.0000

VASP calculation (PBE) on a geometry-optimized InAsPt4 structure.

Values from the calculation:
* SG: No. 216
* DFT total energy: -5.24 eV per atom
* calculated formation energy: 0.020 eV per atom
* total magnetization: 0.00 μB/cell

a = 5.3463 Å, b = 5.3463 Å, c = 5.3463 Å
α = 60.00°, β = 60.00°, γ = 60.00°
Atoms (fractional coordinates):
In: 0.0000 0.0000 0.0000
As: 0.2500 0.2500 0.2500
Pt: 0.1255 0.6248 0.6248
Pt: 0.6248 0.1255 0.6248
Pt: 0.6248 0.6248 0.1255
Pt: 0.6248 0.6248 0.6248

VASP calculation (PBE) on a geometry-optimized Ni2Os structure.

Values from the calculation:
* SG: No. 63
* DFT total energy: -7.50 eV per atom
* polymorph energy (0 for the lowest one): 37 meV per atom
* calculated formation energy: 0.100 eV per atom
* total magnetization: 0.00 μB/cell

a = 3.6714 Å, b = 10.8748 Å, c = 3.6274 Å
α = 90.00°, β = 90.00°, γ = 90.00°
Atoms (fractional coordinates):
Ni: 0.0000 0.0826 0.2500
Ni: 0.0000 0.2459 0.7500
Ni: 0.0000 0.7541 0.2500
Ni: 0.0000 0.9174 0.7500
Ni: 0.5000 0.2541 0.2500
Ni: 0.5000 0.4174 0.7500
Ni: 0.5000 0.5826 0.2500
Ni: 0.5000 0.7459 0.7500
Os: 0.0000 0.4173 0.2500
Os: 0.0000 0.5827 0.7500
Os: 0.5000 0.0827 0.7500
Os: 0.5000 0.9173 0.2500

VASP calculation (PBE) on a geometry-optimized PaMnSeN2 structure.

Values from the calculation:
* SG: No. 11
* DFT total energy: -8.77 eV per atom
* total magnetization: 7.53 μB/cell
* E_form (uncorrected): -1.01 eV per atom

a = 5.5636 Å, b = 3.9138 Å, c = 7.3994 Å
α = 90.00°, β = 97.04°, γ = 90.00°
Atoms (fractional coordinates):
Pa: 0.0424 0.2500 0.2933
Pa: 0.9576 0.7500 0.7067
Mn: 0.4649 0.2500 0.6364
Mn: 0.5351 0.7500 0.3636
Se: 0.2656 0.7500 0.0655
Se: 0.7344 0.2500 0.9345
N: 0.1035 0.2500 0.6182
N: 0.4562 0.2500 0.3738
N: 0.5438 0.7500 0.6262
N: 0.8965 0.7500 0.3818